No. 1
Ac4RhPb2 | Alexandria via LeMat-Bulk | PBE | relaxed; DOS at the Fermi energy = 4.8 states/eV per cell; magnetization = 0.00 μB per cell; formation enthalpy at 0 K = -477 meV per atom; volume = 273.8 Å³ per cell; energy relative to the lowest polymorph listed for this composition = 63 meV/atom
1.0
5.5076 0.0000 0.0000
0.0000 5.5076 0.0000
-2.7538 -2.7538 9.0258
Pb Ac Rh
2 4 1
direct
0.6368 0.6368 0.2735 Pb
0.3632 0.3632 0.7265 Pb
0.8234 0.8234 0.6469 Ac
0.1766 0.1766 0.3531 Ac
0.0000 0.5000 0.0000 Ac
0.5000 0.0000 0.0000 Ac
0.0000 0.0000 0.0000 Rh

No. 2
Ac4RhPb2 | Alexandria via LeMat-Bulk | PBE | relaxed; DOS at the Fermi energy = 9.2 states/eV per cell; magnetization = 0.00 μB per cell; formation enthalpy at 0 K = -501 meV per atom; volume = 513.9 Å³ per cell; energy relative to the lowest polymorph listed for this composition = 39 meV/atom
1.0
-5.3854 -3.6339 2.7131
0.1840 -4.6260 -5.8308
9.7823 -3.4371 3.0356
Ac Rh Pb
8 2 4
direct
0.4652 0.4998 0.2516 Ac
0.1216 0.7500 0.8895 Ac
0.8784 0.2500 0.1105 Ac
0.4652 0.0002 0.2516 Ac
0.9140 0.2500 0.5995 Ac
0.5348 0.9998 0.7484 Ac
0.5348 0.5002 0.7484 Ac
0.0860 0.7500 0.4005 Ac
0.1187 0.7500 0.1462 Rh
0.8813 0.2500 0.8538 Rh
0.6850 0.7500 0.0585 Pb
0.3150 0.2500 0.9415 Pb
0.2651 0.2500 0.4474 Pb
0.7349 0.7500 0.5526 Pb

No. 3
Ac2RhPb | Alexandria via LeMat-Bulk | PBE | relaxed; DOS at the Fermi energy = 1.3 states/eV per cell; magnetization = 0.00 μB per cell; formation enthalpy at 0 K = -543 meV per atom; volume = 122.7 Å³ per cell
1.0
3.7671 0.0000 0.0000
0.0000 3.7671 0.0000
0.0000 0.0000 8.6481
Pb Ac Rh
1 2 1
direct
0.5000 0.5000 0.5000 Pb
0.0000 0.0000 0.7936 Ac
0.0000 0.0000 0.2064 Ac
0.5000 0.5000 0.0000 Rh

No. 4
Ac12Rh6Pb | Alexandria via LeMat-Bulk | PBE | relaxed; DOS at the Fermi energy = 13.1 states/eV per cell; magnetization = 0.00 μB per cell; formation enthalpy at 0 K = -548 meV per atom; volume = 632.5 Å³ per cell
1.0
9.3659 0.0000 0.0000
-3.1220 8.8303 0.0000
-3.1220 -4.4151 7.6472
Ac Rh Pb
12 6 1
direct
0.3124 0.1313 0.8190 Ac
0.3124 0.4934 0.1810 Ac
0.6876 0.5066 0.8190 Ac
0.6876 0.8687 0.1810 Ac
0.1313 0.8190 0.3124 Ac
0.4934 0.1810 0.3124 Ac
0.5066 0.8190 0.6876 Ac
0.8687 0.1810 0.6876 Ac
0.8190 0.3124 0.1313 Ac
0.1810 0.3124 0.4934 Ac
0.8190 0.6876 0.5066 Ac
0.1810 0.6876 0.8687 Ac
0.3678 0.5000 0.8678 Rh
0.6322 0.5000 0.1322 Rh
0.5000 0.8678 0.3678 Rh
0.5000 0.1322 0.6322 Rh
0.8678 0.3678 0.5000 Rh
0.1322 0.6322 0.5000 Rh
0.0000 0.0000 0.0000 Pb

No. 5
Ac2RhPb | Alexandria via LeMat-Bulk | PBE | relaxed; DOS at the Fermi energy = 4.3 states/eV per cell; magnetization = 0.00 μB per cell; formation enthalpy at 0 K = -580 meV per atom; volume = 260.5 Å³ per cell
1.0
4.1228 0.0000 -1.1682
0.0000 7.7170 0.0000
0.0859 0.0000 8.1620
Ac Rh Pb
4 2 2
direct
0.6425 0.0008 0.2849 Ac
0.3575 0.5008 0.7151 Ac
0.6425 0.4992 0.2849 Ac
0.3575 0.9992 0.7151 Ac
0.1909 0.7500 0.3817 Rh
0.8091 0.2500 0.6183 Rh
0.0010 0.7500 0.0021 Pb
0.9990 0.2500 0.9979 Pb

No. 6
Ac6Rh3Pb | Alexandria via LeMat-Bulk | PBE | relaxed; DOS at the Fermi energy = 13.7 states/eV per cell; magnetization = 0.00 μB per cell; formation enthalpy at 0 K = -578 meV per atom; volume = 691.1 Å³ per cell
1.0
-1.6891 3.7110 -1.5884
-0.0097 -4.9773 -11.6181
-11.5248 -2.9046 5.4694
Ac Rh Pb
12 6 2
direct
0.7500 0.4807 0.6153 Ac
0.2500 0.5193 0.3847 Ac
0.7500 0.9213 0.0854 Ac
0.2500 0.0787 0.9146 Ac
0.7500 0.3888 0.0525 Ac
0.2500 0.6112 0.9475 Ac
0.7500 0.7057 0.2568 Ac
0.2500 0.2943 0.7432 Ac
0.7500 0.1506 0.4720 Ac
0.2500 0.8494 0.5280 Ac
0.7500 0.7962 0.7643 Ac
0.2500 0.2038 0.2357 Ac
0.7500 0.4574 0.8392 Rh
0.2500 0.5426 0.1608 Rh
0.7500 0.6731 0.4880 Rh
0.2500 0.3269 0.5120 Rh
0.7500 0.1560 0.0819 Rh
0.2500 0.8440 0.9181 Rh
0.7500 0.0507 0.6923 Pb
0.2500 0.9493 0.3077 Pb

No. 7
Ac4Rh2Pb | Alexandria via LeMat-Bulk | PBE | relaxed; DOS at the Fermi energy = 12.2 states/eV per cell; magnetization = 0.00 μB per cell; formation enthalpy at 0 K = -587 meV per atom; volume = 478.3 Å³ per cell; energy relative to the lowest polymorph listed for this composition = 0 meV/atom
1.0
-3.9056 -0.6300 2.2591
3.3903 -6.6636 -0.5903
6.9630 2.4166 12.7120
Ac Rh Pb
8 4 2
direct
0.7673 0.5346 0.1115 Ac
0.7673 0.5346 0.3885 Ac
0.2327 0.4654 0.8885 Ac
0.2327 0.4654 0.6115 Ac
0.9355 0.8710 0.7500 Ac
0.0645 0.1290 0.2500 Ac
0.5000 0.0000 0.0000 Ac
0.5000 0.0000 0.5000 Ac
0.1284 0.2569 0.4401 Rh
0.8716 0.7431 0.9401 Rh
0.1284 0.2569 0.0599 Rh
0.8716 0.7431 0.5599 Rh
0.6117 0.2234 0.7500 Pb
0.3883 0.7766 0.2500 Pb

No. 8
Ac3RhPb | Alexandria via LeMat-Bulk | PBE | relaxed; DOS at the Fermi energy = 10.8 states/eV per cell; magnetization = 0.00 μB per cell; formation enthalpy at 0 K = -580 meV per atom; volume = 709.4 Å³ per cell; energy relative to the lowest polymorph listed for this composition = 0 meV/atom
1.0
4.7557 0.0000 0.0000
0.0000 9.2367 0.0000
0.0000 0.0000 16.1496
Ac Rh Pb
12 4 4
direct
0.2500 0.3423 0.5048 Ac
0.7500 0.8042 0.2118 Ac
0.7500 0.5279 0.8915 Ac
0.7500 0.0279 0.6085 Ac
0.7500 0.6577 0.4952 Ac
0.2500 0.9721 0.3915 Ac
0.2500 0.8423 0.9952 Ac
0.7500 0.3042 0.2882 Ac
0.2500 0.6958 0.7118 Ac
0.2500 0.1958 0.7882 Ac
0.7500 0.1577 0.0048 Ac
0.2500 0.4721 0.1085 Ac
0.2500 0.3394 0.9415 Rh
0.2500 0.8394 0.5585 Rh
0.7500 0.1606 0.4415 Rh
0.7500 0.6606 0.0585 Rh
0.7500 0.9163 0.8261 Pb
0.2500 0.0837 0.1739 Pb
0.7500 0.4163 0.6739 Pb
0.2500 0.5837 0.3261 Pb